Entry 1:
The following is a DFT calculation (PBE) of a relaxed structure of SrInTc2.

Summary:
* ρ: 7.78 g cm⁻³
* calculated formation energy: 0.17 eV per atom
* space-group type: P4mm (99)
* electronic total energy: -24.464 eV per cell
* total moment: 0.00 μB/f.u.

Geometry as extended XYZ:
```
4
Lattice="-2.566 1.809 -0.450 -1.418 -2.390 -1.527 -4.643 -5.145 5.787" Properties=species:S:1:pos:R:3 pbc="T T T"
Sr -5.905 -4.812 3.144
In -2.869 -3.630 1.766
Tc -1.629 -2.571 -1.048
Tc -2.671 -0.871 0.551
```


Entry 2:
The following is a DFT calculation (PBE) of a relaxed structure of MnCdMo2.

Summary:
* ρ: 9.40 g cm⁻³
* calculated formation energy: 0.40 eV per atom
* space-group type: R-3m (166)
* electronic total energy: -30.150 eV per cell
* total moment: 0.98 μB/f.u.

Geometry as extended XYZ:
```
4
Lattice="9.354 -0.016 -0.009 8.933 2.773 -0.009 8.933 1.347 2.424" Properties=species:S:1:pos:R:3 pbc="T T T"
Mn 20.415 3.078 1.804
Cd 6.805 1.026 0.601
Mo 0.290 0.044 0.026
Mo 13.320 2.008 1.177
```


Entry 3:
The following is a DFT calculation (PBE) of a relaxed structure of Ga2Cu2Au.

Summary:
* ρ: 10.05 g cm⁻³
* calculated formation energy: -0.02 eV per atom
* space-group type: P4/mbm (127)
* electronic total energy: -35.238 eV per cell
* total moment: 0.00 μB/f.u.

Geometry as extended XYZ:
```
10
Lattice="-6.365 1.558 3.509 -3.761 -3.895 -5.093 0.288 -2.288 1.538" Properties=species:S:1:pos:R:3 pbc="T T T"
Cu -7.123 -3.584 -1.503
Cu -2.716 -1.041 1.457
Cu -2.992 -3.382 -1.974
Cu -6.847 -1.244 1.928
Ga -4.918 0.378 1.483
Ga -7.800 -1.324 -0.512
Ga -2.327 -1.013 -1.072
Ga -5.208 -2.716 -3.067
Au -5.063 -1.169 -0.792
Au 0.000 0.000 0.000
```


Entry 4:
The following is a DFT calculation (PBE) of a relaxed structure of CsGeP.

Summary:
* ρ: 4.38 g cm⁻³
* calculated formation energy: -0.20 eV per atom
* space-group type: P3m1 (156)
* electronic total energy: -11.489 eV per cell
* total moment: 0.00 μB/f.u.

Geometry as extended XYZ:
```
3
Lattice="3.935 0.000 0.000 -1.968 3.408 0.000 0.000 0.000 6.680" Properties=species:S:1:pos:R:3 pbc="T T T"
P 1.968 1.136 2.729
Cs 0.000 0.000 0.119
Ge 0.000 2.272 3.833
```